1.
Density functional theory data (PBE) for crystalline SiPRu at its relaxed geometry.

Properties
Raw total energy ... -19.60 eV for the cell shown
Symmetry ... Fmm2 (42)

a = 6.335 Å, b = 6.014 Å, c = 2.878 Å
α = 82.84°, β = 70.38°, γ = 26.79°
Fractional positions:
Ru 0.335 0.335 0.665
Si 0.669 0.669 0.331
P 0.996 0.996 0.004

***

2.
Density functional theory data (PBE) for crystalline SmCuSn2Pd4 at its relaxed geometry.

Properties
DFT formation energy ... -575 meV/atom
Raw total energy ... -42.19 eV for the cell shown
Symmetry ... R-3m (166)

a = 4.622 Å, b = 4.622 Å, c = 8.422 Å
α = 74.07°, β = 74.07°, γ = 60.00°
Fractional positions:
Pd 0.870 0.870 0.389
Sm 0.000 0.000 0.000
Pd 0.607 0.607 0.180
Pd 0.393 0.393 0.820
Sn 0.755 0.755 0.735
Cu 0.500 0.500 0.500
Sn 0.245 0.245 0.265
Pd 0.130 0.130 0.611

***

3.
Density functional theory data (PBE) for crystalline Ba2CeAgO5 at its relaxed geometry.

Properties
Raw total energy ... -115.14 eV for the cell shown
Symmetry ... Cmc2_1 (36)

a = 3.614 Å, b = 8.032 Å, c = 11.244 Å
α = 90.00°, β = 90.00°, γ = 103.00°
Fractional positions:
O 0.499 0.998 0.783
O 0.940 0.881 0.564
Ag 0.467 0.935 0.465
Ba 0.872 0.745 0.804
O 0.060 0.119 0.064
Ba 0.109 0.218 0.685
Ce 0.790 0.580 0.508
O 0.347 0.694 0.000
O 0.501 0.002 0.283
Ba 0.128 0.255 0.304
O 0.700 0.400 0.880
Ag 0.533 0.065 0.965
O 0.653 0.306 0.500
O 0.300 0.600 0.380
Ce 0.210 0.420 0.008
Ba 0.891 0.782 0.185
O 0.716 0.433 0.135
O 0.284 0.567 0.635

***

4.
Density functional theory data (PBE) for crystalline LiMnPd2 at its relaxed geometry.

Properties
DFT formation energy ... -356 meV/atom
Raw total energy ... -22.89 eV for the cell shown
Symmetry ... Fm-3m (225)

a = 4.330 Å, b = 4.330 Å, c = 4.330 Å
α = 60.00°, β = 60.00°, γ = 60.00°
Fractional positions:
Li 0.000 0.000 0.000
Pd 0.250 0.250 0.250
Mn 0.500 0.500 0.500
Pd 0.750 0.750 0.750

***

5.
Density functional theory data (PBE) for crystalline Ca3TaS at its relaxed geometry.

Properties
Raw total energy ... -21.84 eV for the cell shown
Symmetry ... Pm-3m (221)

a = 5.350 Å, b = 5.350 Å, c = 5.350 Å
α = 90.00°, β = 90.00°, γ = 90.00°
Fractional positions:
S 0.000 0.000 0.000
Ta 0.500 0.500 0.500
Ca 0.500 0.000 0.000
Ca 0.000 0.500 0.000
Ca 0.000 0.000 0.500

***

6.
Density functional theory data (PBE) for crystalline Hf2BePd6 at its relaxed geometry.

Properties
DFT formation energy ... -499 meV/atom
Raw total energy ... -59.28 eV for the cell shown
Symmetry ... C2/m (12)

a = 3.598 Å, b = 6.865 Å, c = 7.395 Å
α = 117.65°, β = 103.94°, γ = 90.00°
Fractional positions:
Hf 0.355 0.354 0.708
Pd 0.500 0.790 0.000
Hf 0.645 0.646 0.292
Be 0.000 0.000 0.000
Pd 0.164 0.371 0.329
Pd 0.164 0.958 0.329
Pd 0.836 0.042 0.671
Pd 0.836 0.629 0.671
Pd 0.500 0.210 0.000

***

7.
Density functional theory data (PBE) for crystalline Cs2NiBI6 at its relaxed geometry.

Properties
Raw total energy ... -26.91 eV for the cell shown
Symmetry ... I4/mmm (139)

a = 7.725 Å, b = 7.725 Å, c = 8.323 Å
α = 62.35°, β = 62.35°, γ = 90.00°
Fractional positions:
I 0.270 0.730 0.000
I 0.270 0.270 0.000
I 0.799 0.799 0.402
B 0.500 0.500 0.000
I 0.730 0.730 0.000
Ni 0.000 0.000 0.000
Cs 0.250 0.750 0.500
Cs 0.750 0.250 0.500
I 0.201 0.201 0.598
I 0.730 0.270 0.000

***

8.
Density functional theory data (PBE) for crystalline Ba2YP3Pt12 at its relaxed geometry.

Properties
DFT formation energy ... -380 meV/atom
Raw total energy ... -105.87 eV for the cell shown
Symmetry ... R-3m (166)

a = 7.940 Å, b = 7.940 Å, c = 7.940 Å
α = 64.21°, β = 64.21°, γ = 64.21°
Fractional positions:
Pt 0.606 0.129 0.129
Pt 0.394 0.871 0.871
P 0.500 0.000 0.000
Pt 0.330 0.908 0.330
Pt 0.129 0.606 0.129
Pt 0.670 0.092 0.670
Y 0.000 0.000 0.000
P 0.000 0.500 0.000
Pt 0.129 0.129 0.606
Pt 0.908 0.330 0.330
Pt 0.670 0.670 0.092
Pt 0.330 0.330 0.908
Ba 0.603 0.603 0.603
Pt 0.871 0.871 0.394
Pt 0.871 0.394 0.871
P 0.000 0.000 0.500
Ba 0.397 0.397 0.397
Pt 0.092 0.670 0.670

***

9.
Density functional theory data (PBE) for crystalline Li4Al2Cd3 at its relaxed geometry.

Properties
DFT formation energy ... -174 meV/atom
Raw total energy ... -19.45 eV for the cell shown
Symmetry ... C2/m (12)

a = 4.470 Å, b = 4.672 Å, c = 8.675 Å
α = 86.31°, β = 90.00°, γ = 118.58°
Fractional positions:
Li 0.986 0.972 0.336
Li 0.014 0.028 0.664
Cd 0.000 0.000 0.000
Al 0.662 0.325 0.452
Li 0.658 0.315 0.114
Al 0.338 0.675 0.548
Li 0.342 0.685 0.886
Cd 0.317 0.635 0.217
Cd 0.683 0.365 0.783

***

10.
Density functional theory data (PBE) for crystalline SeBr at its relaxed geometry.

Properties
Raw total energy ... -42.51 eV for the cell shown
Symmetry ... P2_1/c (14)

a = 15.911 Å, b = 5.219 Å, c = 7.673 Å
α = 87.19°, β = 90.00°, γ = 90.00°
Fractional positions:
Se 0.122 0.109 0.632
Br 0.632 0.974 0.060
Br 0.132 0.526 0.940
Br 0.368 0.026 0.940
Se 0.038 0.838 0.788
Se 0.378 0.609 0.632
Br 0.868 0.474 0.060
Br 0.361 0.424 0.347
Br 0.139 0.924 0.347
Se 0.538 0.662 0.212
Se 0.962 0.162 0.212
Se 0.622 0.391 0.368
Br 0.639 0.576 0.653
Se 0.462 0.338 0.788
Br 0.861 0.076 0.653
Se 0.878 0.891 0.368

***

11.
Density functional theory data (PBE) for crystalline NaPdF at its relaxed geometry.

Properties
Raw total energy ... -48.27 eV for the cell shown
Symmetry ... Pnma (62)

a = 8.294 Å, b = 3.175 Å, c = 7.790 Å
α = 90.00°, β = 90.00°, γ = 90.00°
Fractional positions:
Na 0.820 0.250 0.511
F 0.440 0.750 0.155
Pd 0.480 0.250 0.376
Na 0.180 0.750 0.489
Pd 0.520 0.750 0.624
Pd 0.980 0.250 0.124
F 0.560 0.250 0.845
Pd 0.020 0.750 0.876
F 0.060 0.250 0.655
Na 0.320 0.250 0.989
F 0.940 0.750 0.345
Na 0.680 0.750 0.011

***

12.
Density functional theory data (PBE) for crystalline LiMnMoN2 at its relaxed geometry.

Properties
Raw total energy ... -34.94 eV for the cell shown
Symmetry ... P4/mmm (123)

a = 3.988 Å, b = 4.894 Å, c = 3.988 Å
α = 90.00°, β = 90.00°, γ = 90.00°
Fractional positions:
Mo 0.000 0.000 0.000
Li 0.500 0.500 0.500
N 0.500 0.000 0.000
N 0.000 0.000 0.500
Mn 0.000 0.500 0.000

***

Number 1 is which compound? SiPRu

***

Which value of raw total energy does entry 8 give? -105.87 eV for the cell shown